(1)
Cs2PbAu | PBE-GGA | optimized geometry

Computed properties:
- energy relative to the lowest polymorph listed for this composition (meV/atom) = 81
- space-group type = I-42d (122)
- E_tot (eV per atom) = -2.279

Cell: 9.7407 9.7407 9.7407 Å, 94.71 94.71 146.70°
With the nearest neighbours (Å) after each atom.
Element x y z (fractional)
Cs (0.3750, 0.0326, 0.1576)  2 Au 3.59
Cs (0.7826, 0.6250, 0.6576)  2 Au 3.59
Cs (0.8750, 0.2174, 0.8424)  2 Au 3.59
Cs (0.9674, 0.1250, 0.3424)  2 Au 3.59
Pb (0.2500, 0.7500, 0.5000)  2 Au 2.79
Pb (0.5000, 0.5000, 0.0000)  2 Au 2.79
Au (0.0000, 0.0000, 0.0000)  2 Pb 2.79
Au (0.7500, 0.2500, 0.5000)  2 Pb 2.79


(2)
Cs3PbAu | PBE-GGA | optimized geometry

Computed properties:
- energy relative to the lowest polymorph listed for this composition (meV/atom) = 33
- space-group type = C2/m (12)
- E_tot (eV per atom) = -2.038

Cell: 8.3981 8.3981 9.7464 Å, 115.46 115.46 83.42°
With the nearest neighbours (Å) after each atom.
Element x y z (fractional)
Cs (0.0711, 0.4749, 0.8066)  2 Au 3.58-3.59
Cs (0.1033, 0.1033, 0.3097)  2 Au 3.63-3.67, 1 Pb 4.02
Cs (0.4749, 0.0711, 0.8066)  2 Au 3.58-3.59
Cs (0.5251, 0.9289, 0.1934)  2 Au 3.58-3.59
Cs (0.8967, 0.8967, 0.6903)  2 Au 3.63-3.67, 1 Pb 4.02
Cs (0.9289, 0.5251, 0.1934)  2 Au 3.58-3.59
Pb (0.4926, 0.4926, 0.6493)  1 Au 2.91, 1 Pb 3.02
Pb (0.5074, 0.5074, 0.3507)  1 Au 2.91, 1 Pb 3.02
Au (0.2356, 0.2356, 0.0617)  1 Pb 2.91
Au (0.7644, 0.7644, 0.9383)  1 Pb 2.91


(3)
Cs3Pb4Au | PBE-GGA | optimized geometry

Computed properties:
- space-group type = Pmmn (59)
- E_tot (eV per atom) = -2.869

Cell: 7.3974 14.2745 7.0316 Å, 90.00 90.00 90.00°
With the nearest neighbours (Å) after each atom.
Element x y z (fractional)
Cs (0.2500, 0.9998, 0.1784)  1 Au 3.69, 2 Pb 3.96-4.06
Cs (0.2500, 0.2500, 0.5484)  2 Au 3.82, 4 Pb 3.98-4.14
Cs (0.2500, 0.5002, 0.1784)  1 Au 3.69, 2 Pb 3.96-4.06
Cs (0.7500, 0.0002, 0.8216)  1 Au 3.69, 2 Pb 3.96-4.06
Cs (0.7500, 0.4998, 0.8216)  1 Au 3.69, 2 Pb 3.96-4.06
Cs (0.7500, 0.7500, 0.4516)  2 Au 3.82, 4 Pb 3.98-4.14
Pb (0.0243, 0.7500, 0.9643)  1 Au 2.98, 2 Pb 3.12
Pb (0.2500, 0.6356, 0.6698)  1 Au 2.98, 3 Pb 3.12-3.27
Pb (0.2500, 0.8644, 0.6698)  1 Au 2.98, 3 Pb 3.12-3.27
Pb (0.4757, 0.7500, 0.9643)  1 Au 2.98, 2 Pb 3.12
Pb (0.5243, 0.2500, 0.0357)  1 Au 2.98, 2 Pb 3.12
Pb (0.7500, 0.1356, 0.3302)  1 Au 2.98, 3 Pb 3.12-3.27
Pb (0.7500, 0.3644, 0.3302)  1 Au 2.98, 3 Pb 3.12-3.27
Pb (0.9757, 0.2500, 0.0357)  1 Au 2.98, 2 Pb 3.12
Au (0.2500, 0.7500, 0.3155)  4 Pb 2.98
Au (0.7500, 0.2500, 0.6845)  4 Pb 2.98


(4)
CsPb4Au9 | PBE-GGA | optimized geometry

Computed properties:
- space-group type = I4/mcm (140)
- E_tot (eV per atom) = -3.302

Cell: 9.8722 9.8722 9.8722 Å, 118.87 118.87 91.97°
With the nearest neighbours (Å) after each atom.
Element x y z (fractional)
Cs (0.2500, 0.2500, 0.0000)  16 Au 3.98-4.22, 8 Pb 4.02
Cs (0.7500, 0.7500, 0.0000)  16 Au 3.98-4.22, 8 Pb 4.02
Pb (0.0724, 0.5724, 0.8938)  4 Au 2.88-3.02
Pb (0.1785, 0.0724, 0.5000)  4 Au 2.88-3.02
Pb (0.3215, 0.8215, 0.8938)  4 Au 2.88-3.02
Pb (0.4276, 0.3215, 0.5000)  4 Au 2.88-3.02
Pb (0.5724, 0.6785, 0.5000)  4 Au 2.88-3.02
Pb (0.6785, 0.1785, 0.1062)  4 Au 2.88-3.02
Pb (0.8215, 0.9276, 0.5000)  4 Au 2.88-3.02
Pb (0.9276, 0.4276, 0.1062)  4 Au 2.88-3.02
Au (0.0000, 0.5000, 0.5000)  8 Au 2.85-3.03
Au (0.0268, 0.1996, 0.2263)  3 Au 2.86-3.03, 2 Pb 3.01
Au (0.0699, 0.7828, 0.5000)  4 Au 2.85-3.02, 2 Pb 2.88-3.02
Au (0.1996, 0.9732, 0.1728)  3 Au 2.86-3.03, 2 Pb 3.01
Au (0.2172, 0.7172, 0.2871)  4 Au 2.85-3.02, 2 Pb 2.88-3.02
Au (0.2828, 0.5699, 0.5000)  4 Au 2.85-3.02, 2 Pb 2.88-3.02
Au (0.3004, 0.4732, 0.7737)  3 Au 2.86-3.03, 2 Pb 3.01
Au (0.4301, 0.9301, 0.7129)  4 Au 2.85-3.02, 2 Pb 2.88-3.02
Au (0.4732, 0.6996, 0.1728)  3 Au 2.86-3.03, 2 Pb 3.01
Au (0.5000, 0.0000, 0.5000)  8 Au 2.85-3.03
Au (0.5268, 0.3004, 0.8272)  3 Au 2.86-3.03, 2 Pb 3.01
Au (0.5699, 0.0699, 0.2871)  4 Au 2.85-3.02, 2 Pb 2.88-3.02
Au (0.6996, 0.5268, 0.2263)  3 Au 2.86-3.03, 2 Pb 3.01
Au (0.7172, 0.4301, 0.5000)  4 Au 2.85-3.02, 2 Pb 2.88-3.02
Au (0.7828, 0.2828, 0.7129)  4 Au 2.85-3.02, 2 Pb 2.88-3.02
Au (0.8004, 0.0268, 0.8272)  3 Au 2.86-3.03, 2 Pb 3.01
Au (0.9301, 0.2172, 0.5000)  4 Au 2.85-3.02, 2 Pb 2.88-3.02
Au (0.9732, 0.8004, 0.7737)  3 Au 2.86-3.03, 2 Pb 3.01


(5)
Cs2PbAu | PBE-GGA | optimized geometry

Computed properties:
- energy relative to the lowest polymorph listed for this composition (meV/atom) = 0
- space-group type = C2 (5)
- E_tot (eV per atom) = -2.360

Cell: 7.1018 7.1018 4.9918 Å, 110.36 110.36 61.23°
With the nearest neighbours (Å) after each atom.
Element x y z (fractional)
Cs (0.1884, 0.1884, 0.1902)  3 Au 3.72-4.01, 1 Pb 4.16
Cs (0.8116, 0.8116, 0.8098)  3 Au 3.72-4.01, 1 Pb 4.16
Pb (0.4962, 0.5038, 0.0000)  2 Au 2.80
Au (0.3198, 0.6802, 0.5000)  2 Pb 2.80


(6)
Cs12PbAu5 | PBE-GGA | optimized geometry

Computed properties:
- space-group type = Immm (71)
- E_tot (eV per atom) = -1.880

Cell: 10.9901 10.9901 10.9901 Å, 114.01 108.84 105.67°
With the nearest neighbours (Å) after each atom.
Element x y z (fractional)
Cs (0.0587, 0.2379, 0.8208)  2 Au 3.66-3.90
Cs (0.1747, 0.2863, 0.4611)  4 Au 3.71-4.09
Cs (0.1747, 0.7137, 0.8884)  4 Au 3.71-4.09
Cs (0.3434, 0.0212, 0.6778)  3 Au 3.73-3.74, 1 Cs 4.16
Cs (0.3434, 0.6655, 0.3222)  3 Au 3.73-3.74, 1 Cs 4.16
Cs (0.4171, 0.2379, 0.1792)  2 Au 3.66-3.90
Cs (0.5829, 0.7621, 0.8208)  2 Au 3.66-3.90
Cs (0.6566, 0.3345, 0.6778)  3 Au 3.73-3.74, 1 Cs 4.16
Cs (0.6566, 0.9788, 0.3222)  3 Au 3.73-3.74, 1 Cs 4.16
Cs (0.8253, 0.2863, 0.1116)  4 Au 3.71-4.09
Cs (0.8253, 0.7137, 0.5389)  4 Au 3.71-4.09
Cs (0.9413, 0.7621, 0.1792)  2 Au 3.66-3.90
Pb (0.5000, 0.5000, 0.0000)  8 Cs 4.17-4.38
Au (0.0000, 0.0000, 0.0000)  8 Cs 3.90-4.09, 2 Au 4.14
Au (0.1116, 0.6116, 0.5000)  1 Au 2.96
Au (0.3235, 0.0000, 0.3235)  8 Cs 3.66-3.92
Au (0.6765, 0.0000, 0.6765)  8 Cs 3.66-3.92
Au (0.8884, 0.3884, 0.5000)  1 Au 2.96


(7)
Cs3Pb7Au2 | PBE-GGA | optimized geometry

Computed properties:
- space-group type = P2/m (10)
- E_tot (eV per atom) = -3.043

Cell: 6.9249 5.1623 13.3447 Å, 90.00 104.25 90.00°
With the nearest neighbours (Å) after each atom.
Element x y z (fractional)
Cs (0.0000, 0.0000, 0.0000)  6 Pb 3.81-4.20, 4 Au 3.91
Cs (0.2050, 0.0000, 0.3924)  2 Au 3.92, 7 Pb 3.95-4.25, 1 Cs 4.38
Cs (0.7950, 0.0000, 0.6076)  2 Au 3.92, 7 Pb 3.95-4.25, 1 Cs 4.38
Pb (0.1009, 0.5000, 0.8094)  1 Au 2.88, 1 Pb 3.04
Pb (0.3266, 0.5000, 0.6405)  1 Au 2.89, 1 Pb 3.04
Pb (0.4178, 0.0000, 0.8110)  2 Au 3.18, 6 Pb 3.38-3.56
Pb (0.5000, 0.5000, 0.0000)  2 Au 3.14, 2 Pb 3.26
Pb (0.5822, 0.0000, 0.1890)  2 Au 3.18, 6 Pb 3.38-3.56
Pb (0.6734, 0.5000, 0.3595)  1 Au 2.89, 1 Pb 3.04
Pb (0.8991, 0.5000, 0.1906)  1 Au 2.88, 1 Pb 3.04
Au (0.3157, 0.5000, 0.1929)  5 Pb 2.88-3.18
Au (0.6843, 0.5000, 0.8071)  5 Pb 2.88-3.18


(8)
Cs7PbAu3 | PBE-GGA | optimized geometry

Computed properties:
- space-group type = C2/m (12)
- E_tot (eV per atom) = -1.945

Cell: 8.8463 8.8463 8.7381 Å, 103.57 103.57 97.31°
With the nearest neighbours (Å) after each atom.
Element x y z (fractional)
Cs (0.0000, 0.0000, 0.0000)  2 Au 3.70
Cs (0.1139, 0.5484, 0.2831)  3 Au 3.63-3.87
Cs (0.3485, 0.3485, 0.7739)  3 Au 3.45-3.63
Cs (0.4516, 0.8861, 0.7169)  3 Au 3.63-3.87
Cs (0.5484, 0.1139, 0.2831)  3 Au 3.63-3.87
Cs (0.6515, 0.6515, 0.2261)  3 Au 3.45-3.63
Cs (0.8861, 0.4516, 0.7169)  3 Au 3.63-3.87
Pb (0.0000, 0.0000, 0.5000)  8 Cs 3.92-4.37
Au (0.2788, 0.7212, 0.0000)  7 Cs 3.63-3.87
Au (0.5000, 0.5000, 0.5000)  6 Cs 3.45-3.63
Au (0.7212, 0.2788, 0.0000)  7 Cs 3.63-3.87


(9)
CsPb12Au5 | PBE-GGA | optimized geometry

Computed properties:
- space-group type = Immm (71)
- E_tot (eV per atom) = -3.466

Cell: 8.9374 8.9374 8.9374 Å, 115.02 114.88 98.99°
With the nearest neighbours (Å) after each atom.
Element x y z (fractional)
Cs (0.0000, 0.0000, 0.0000)  12 Pb 3.71-3.86
Pb (0.0809, 0.2790, 0.8019)  2 Au 2.97-3.20
Pb (0.1887, 0.5002, 0.3114)  3 Au 2.86-3.18
Pb (0.1887, 0.8773, 0.6886)  3 Au 2.86-3.18
Pb (0.3255, 0.2351, 0.5606)  4 Au 3.05-3.14, 1 Pb 3.36
Pb (0.3255, 0.7649, 0.0904)  4 Au 3.05-3.14, 1 Pb 3.36
Pb (0.4771, 0.2790, 0.1981)  2 Au 2.97-3.20
Pb (0.5229, 0.7210, 0.8019)  2 Au 2.97-3.20
Pb (0.6745, 0.2351, 0.9096)  4 Au 3.05-3.14, 1 Pb 3.36
Pb (0.6745, 0.7649, 0.4394)  4 Au 3.05-3.14, 1 Pb 3.36
Pb (0.8113, 0.1227, 0.3114)  3 Au 2.86-3.18
Pb (0.8113, 0.4998, 0.6886)  3 Au 2.86-3.18
Pb (0.9191, 0.7210, 0.1981)  2 Au 2.97-3.20
Au (0.1474, 0.5000, 0.6474)  1 Au 2.84, 4 Pb 2.97-3.07
Au (0.3797, 0.8797, 0.5000)  1 Au 2.79, 2 Pb 2.86
Au (0.5000, 0.5000, 0.0000)  8 Pb 3.05-3.20, 2 Au 3.39
Au (0.6203, 0.1203, 0.5000)  1 Au 2.79, 2 Pb 2.86
Au (0.8526, 0.5000, 0.3526)  1 Au 2.84, 4 Pb 2.97-3.07


(10)
Cs5Pb6Au | PBE-GGA | optimized geometry

Computed properties:
- space-group type = C2/m (12)
- E_tot (eV per atom) = -2.622

Cell: 8.5903 8.5903 10.5190 Å, 98.37 98.37 126.14°
With the nearest neighbours (Å) after each atom.
Element x y z (fractional)
Cs (0.0000, 0.0000, 0.0000)  6 Pb 3.83-3.91, 2 Cs 4.11
Cs (0.1444, 0.8556, 0.5000)  8 Pb 4.26-4.70, 1 Cs 4.42, 2 Au 4.48
Cs (0.2681, 0.7319, 0.0000)  6 Pb 3.88-4.18, 3 Cs 3.93-4.11
Cs (0.7319, 0.2681, 0.0000)  6 Pb 3.88-4.18, 3 Cs 3.93-4.11
Cs (0.8556, 0.1444, 0.5000)  8 Pb 4.26-4.70, 1 Cs 4.42, 2 Au 4.48
Pb (0.2611, 0.4856, 0.2830)  1 Au 2.77, 1 Pb 3.09
Pb (0.3824, 0.3824, 0.8326)  3 Pb 3.09-3.41
Pb (0.4856, 0.2611, 0.2830)  1 Au 2.77, 1 Pb 3.09
Pb (0.5144, 0.7389, 0.7170)  1 Au 2.77, 1 Pb 3.09
Pb (0.6176, 0.6176, 0.1674)  3 Pb 3.09-3.41
Pb (0.7389, 0.5144, 0.7170)  1 Au 2.77, 1 Pb 3.09
Au (0.5000, 0.5000, 0.5000)  4 Pb 2.77


(11)
Cs2PbAu2 | PBE-GGA | optimized geometry

Computed properties:
- energy relative to the lowest polymorph listed for this composition (meV/atom) = 354
- space-group type = P4/mbm (127)
- E_tot (eV per atom) = -2.286

Cell: 10.2712 10.2712 3.6345 Å, 90.00 90.00 90.00°
With the nearest neighbours (Å) after each atom.
Element x y z (fractional)
Cs (0.1330, 0.3670, 0.0000)  6 Au 3.42-3.60, 2 Cs 3.63
Cs (0.3670, 0.8670, 0.0000)  6 Au 3.42-3.60, 2 Cs 3.63
Cs (0.6330, 0.1330, 0.0000)  6 Au 3.42-3.60, 2 Cs 3.63
Cs (0.8670, 0.6330, 0.0000)  6 Au 3.42-3.60, 2 Cs 3.63
Pb (0.0000, 0.0000, 0.0000)  2 Pb 3.63, 4 Cs 4.01
Pb (0.5000, 0.5000, 0.0000)  2 Pb 3.63, 4 Cs 4.01
Au (0.1679, 0.6679, 0.5000)  6 Cs 3.42-3.60, 2 Au 3.63
Au (0.3321, 0.1679, 0.5000)  6 Cs 3.42-3.60, 2 Au 3.63
Au (0.6679, 0.8321, 0.5000)  6 Cs 3.42-3.60, 2 Au 3.63
Au (0.8321, 0.3321, 0.5000)  6 Cs 3.42-3.60, 2 Au 3.63


(12)
CsPb12Au4 | PBE-GGA | optimized geometry

Computed properties:
- space-group type = Im-3 (204)
- E_tot (eV per atom) = -3.429

Cell: 8.8635 8.8635 8.8635 Å, 109.47 109.47 109.47°
With the nearest neighbours (Å) after each atom.
Element x y z (fractional)
Cs (0.0000, 0.0000, 0.0000)  12 Pb 3.93
Pb (0.1590, 0.3491, 0.5080)  2 Au 2.91, 2 Pb 3.09-3.25
Pb (0.1590, 0.6509, 0.8099)  2 Au 2.91, 2 Pb 3.09-3.25
Pb (0.1901, 0.8410, 0.3491)  2 Au 2.91, 2 Pb 3.09-3.25
Pb (0.3491, 0.1901, 0.8410)  2 Au 2.91, 2 Pb 3.09-3.25
Pb (0.3491, 0.5080, 0.1590)  2 Au 2.91, 2 Pb 3.09-3.25
Pb (0.4920, 0.8410, 0.6509)  2 Au 2.91, 2 Pb 3.09-3.25
Pb (0.5080, 0.1590, 0.3491)  2 Au 2.91, 2 Pb 3.09-3.25
Pb (0.6509, 0.4920, 0.8410)  2 Au 2.91, 2 Pb 3.09-3.25
Pb (0.6509, 0.8099, 0.1590)  2 Au 2.91, 2 Pb 3.09-3.25
Pb (0.8099, 0.1590, 0.6509)  2 Au 2.91, 2 Pb 3.09-3.25
Pb (0.8410, 0.3491, 0.1901)  2 Au 2.91, 2 Pb 3.09-3.25
Pb (0.8410, 0.6509, 0.4920)  2 Au 2.91, 2 Pb 3.09-3.25
Au (0.0000, 0.0000, 0.5000)  6 Pb 2.91
Au (0.0000, 0.5000, 0.0000)  6 Pb 2.91
Au (0.5000, 0.0000, 0.0000)  6 Pb 2.91
Au (0.5000, 0.5000, 0.5000)  6 Pb 2.91